[1]
Density functional theory data (PBE) for a relaxed structure of TeHAuN2.

Summary:
* E above lowest polymorph: 34.9 meV/atom
* crystal system: tetragonal

a b c (Å): 4.150 4.150 3.595
angles (deg): 90.00 90.00 90.00
Element x y z (fractional)
Te 0.000 0.000 0.000
H 0.000 0.000 0.500
Au 0.500 0.500 0.000
N 0.000 0.500 0.500
N 0.500 0.000 0.500



[2]
Density functional theory data (PBE) for a relaxed structure of CaSn4O6.

Summary:
* formation energy (no corrections): -1.422 eV/atom
* crystal system: orthorhombic

a b c (Å): 5.735 5.735 17.756
angles (deg): 90.00 90.00 145.50
Element x y z (fractional)
Ca 0.181 0.819 0.750
Ca 0.819 0.181 0.250
Sn 0.093 0.907 0.141
Sn 0.093 0.907 0.359
Sn 0.357 0.643 0.053
Sn 0.357 0.643 0.447
Sn 0.643 0.357 0.553
Sn 0.643 0.357 0.947
Sn 0.907 0.093 0.641
Sn 0.907 0.093 0.859
O 0.000 0.000 0.000
O 0.000 0.000 0.500
O 0.164 0.836 0.250
O 0.275 0.725 0.627
O 0.275 0.725 0.873
O 0.452 0.548 0.163
O 0.452 0.548 0.337
O 0.548 0.452 0.663
O 0.548 0.452 0.837
O 0.725 0.275 0.127
O 0.725 0.275 0.373
O 0.836 0.164 0.750



[3]
Density functional theory data (PBE) for a relaxed structure of MnBe2Te.

Summary:
* formation energy (no corrections): 0.655 eV/atom
* crystal system: tetragonal

a b c (Å): 5.574 5.574 5.574
angles (deg): 102.58 102.58 124.35
Element x y z (fractional)
Mn 0.000 0.000 0.000
Mn 0.750 0.250 0.500
Be 0.131 0.625 0.006
Be 0.375 0.381 0.506
Be 0.619 0.125 0.994
Be 0.875 0.869 0.494
Te 0.250 0.750 0.500
Te 0.500 0.500 0.000



[4]
Density functional theory data (PBE) for a relaxed structure of Mn3P.

Summary:
* formation energy: -0.193 eV per atom
* crystal system: hexagonal

a b c (Å): 5.014 5.014 4.067
angles (deg): 90.00 90.00 120.00
Element x y z (fractional)
Mn 0.166 0.331 0.250
Mn 0.166 0.834 0.250
Mn 0.331 0.166 0.750
Mn 0.669 0.834 0.250
Mn 0.834 0.166 0.750
Mn 0.834 0.669 0.750
P 0.333 0.667 0.750
P 0.667 0.333 0.250



[5]
Density functional theory data (PBE) for a relaxed structure of Ba2Li2Ag.

Summary:
* formation energy: -0.075 eV per atom
* E above lowest polymorph: 0.0 meV/atom
* crystal system: orthorhombic

a b c (Å): 6.759 6.759 6.759
angles (deg): 132.95 130.53 70.66
Element x y z (fractional)
Ba 0.189 0.189 0.000
Ba 0.811 0.811 0.000
Li 0.261 0.500 0.761
Li 0.739 0.500 0.239
Ag 0.500 0.000 0.500



[6]
Density functional theory data (PBE) for a relaxed structure of BaPaHgO5.

Summary:
* formation energy (no corrections): -2.285 eV/atom
* crystal system: monoclinic

a b c (Å): 6.432 6.432 8.266
angles (deg): 101.03 101.03 113.01
Element x y z (fractional)
Ba 0.180 0.820 0.750
Ba 0.820 0.180 0.250
Pa 0.500 0.500 0.000
Pa 0.500 0.500 0.500
Hg 0.173 0.827 0.250
Hg 0.827 0.173 0.750
O 0.156 0.217 0.928
O 0.217 0.156 0.428
O 0.233 0.619 0.421
O 0.381 0.767 0.079
O 0.434 0.566 0.750
O 0.566 0.434 0.250
O 0.619 0.233 0.921
O 0.767 0.381 0.579
O 0.783 0.844 0.572
O 0.844 0.783 0.072



Repeat the sixth record exactly.
Density functional theory data (PBE) for a relaxed structure of BaPaHgO5.

Summary:
* formation energy (no corrections): -2.285 eV/atom
* crystal system: monoclinic

a b c (Å): 6.432 6.432 8.266
angles (deg): 101.03 101.03 113.01
Element x y z (fractional)
Ba 0.180 0.820 0.750
Ba 0.820 0.180 0.250
Pa 0.500 0.500 0.000
Pa 0.500 0.500 0.500
Hg 0.173 0.827 0.250
Hg 0.827 0.173 0.750
O 0.156 0.217 0.928
O 0.217 0.156 0.428
O 0.233 0.619 0.421
O 0.381 0.767 0.079
O 0.434 0.566 0.750
O 0.566 0.434 0.250
O 0.619 0.233 0.921
O 0.767 0.381 0.579
O 0.783 0.844 0.572
O 0.844 0.783 0.072



- Which formula does entry 3 have?
  MnBe2Te